{"formula": "MnTeBr2O", "functional": "GGA+U", "state": "relaxed", "sg": "P4/mmm, No. 123", "final_energy_ev_per_atom": -3.115, "lattice": [[-4.299, -3.411, 0.752], [2.798, -4.076, -2.499], [2.151, -1.604, 5.024]], "species": ["Mn", "Te", "O", "Br", "Br"], "frac_coords": [[0.000, 0.000, 0.500], [0.000, 0.000, 0.000], [0.500, 0.500, 0.500], [0.000, 0.500, 0.000], [0.500, 0.000, 0.000]]}